Entry from Alexandria: crystalline Tb3Ir8Rh at its relaxed geometry (PBE).

Results
The total energy comes out at -8.20 eV per atom.

Cell lengths 5.329, 5.329, 9.227 Å; angles 73.22, 73.22, 60.00 degrees
Sites, in units of the cell vectors:
Tb1 0.623 0.623 0.130
Tb2 0.010 0.010 0.970
Tb3 0.493 0.493 0.522
Ir1 0.561 0.063 0.816
Ir2 0.058 0.562 0.321
Ir3 0.561 0.561 0.816
Ir4 0.058 0.058 0.321
Ir5 0.809 0.809 0.573
Ir6 0.311 0.311 0.068
Ir7 0.063 0.561 0.816
Ir8 0.562 0.058 0.321
Rh1 0.141 0.141 0.576

Entry from Alexandria: crystalline TbThIrRh at its relaxed geometry (PBE).

Results
The energy above the most stable polymorph in this dataset is 0 meV per atom.

Cell lengths 3.814, 4.378, 5.681 Å; angles 90.00, 109.61, 90.00 degrees
Sites, in units of the cell vectors:
Tb1 0.862 0.500 0.723
Th1 0.138 0.000 0.276
Ir1 0.409 0.000 0.818
Rh1 0.591 0.500 0.183

Quick rundown of volume, same order as above: 17.83; 22.34 Å³ per atom